[1]
This record from the Alexandria database describes crystalline K2Cd2Bi at its relaxed geometry. The functional is PBE.

a = 4.085 Å, b = 4.085 Å, c = 11.721 Å
α = 79.97°, β = 79.97°, γ = 90.00°
Positions (direct):
1 K 0.400 0.400 0.201
2 K 0.600 0.600 0.799
3 Bi 0.000 0.000 0.000
4 Cd 0.750 0.250 0.500
5 Cd 0.250 0.750 0.500

Results
energy	-1.69	eV/atom
DFT formation energy	-109	meV per atom
crystal system	tetragonal
distance to the lowest polymorph of the same formula	65.9	meV per atom

[2]
This record from the Alexandria database describes crystalline Al3Zn4Ga at its relaxed geometry. The functional is PBE.

a = 2.846 Å, b = 4.842 Å, c = 11.149 Å
α = 109.08°, β = 97.33°, γ = 90.00°
Positions (direct):
1 Zn 0.702 0.323 0.403
2 Zn 0.298 0.677 0.597
3 Zn 0.102 0.307 0.203
4 Zn 0.898 0.693 0.797
5 Al 0.000 0.500 0.000
6 Al 0.188 0.836 0.376
7 Al 0.812 0.164 0.624
8 Ga 0.500 0.000 0.000

Results
energy	-2.27	eV/atom
DFT formation energy	146	meV per atom
crystal system	monoclinic

[3]
This record from the Alexandria database describes crystalline CaTe2HN at its relaxed geometry. The functional is PBE.

a = 5.954 Å, b = 5.954 Å, c = 4.446 Å
α = 90.00°, β = 90.00°, γ = 90.00°
Site moments in Bohr magnetons follow the coordinates.
Positions (direct):
1 H 0.500 0.500 0.500  0.36
2 Ca 0.000 0.000 0.000  0.01
3 Te 0.000 0.500 0.000  -0.19
4 Te 0.500 0.000 0.000  -0.19
5 N 0.000 0.000 0.500  -0.05

Results
energy	-2.73	eV/atom
crystal system	tetragonal
distance to the lowest polymorph of the same formula	789.5	meV per atom

[4]
This record from the Alexandria database describes crystalline K2YMo at its relaxed geometry. The functional is PBE.

a = 3.067 Å, b = 3.067 Å, c = 13.203 Å
α = 90.00°, β = 90.00°, γ = 90.00°
Site moments in Bohr magnetons follow the coordinates.
Positions (direct):
1 K 0.000 0.000 0.032  0.01
2 K 0.000 0.000 0.468  0.01
3 Mo 0.500 0.500 0.250  0.34
4 Y 0.500 0.500 0.750  0.02

Results
energy	-3.57	eV/atom
DFT formation energy	1306	meV per atom
crystal system	tetragonal
distance to the lowest polymorph of the same formula	525.2	meV per atom

[5]
This record from the Alexandria database describes crystalline Nd2DyAu2 at its relaxed geometry. The functional is PBE.

a = 4.013 Å, b = 6.378 Å, c = 6.378 Å
α = 67.98°, β = 71.66°, γ = 71.66°
Positions (direct):
1 Nd 0.198 0.302 0.302
2 Nd 0.802 0.698 0.698
3 Dy 0.000 0.000 0.000
4 Au 0.500 0.292 0.708
5 Au 0.500 0.708 0.292

Results
energy	-4.74	eV/atom
DFT formation energy	-605	meV per atom
crystal system	orthorhombic
distance to the lowest polymorph of the same formula	42.6	meV per atom

[6]
This record from the Alexandria database describes crystalline AcNd2DyS6 at its relaxed geometry. The functional is PBE.

a = 7.226 Å, b = 7.226 Å, c = 7.583 Å
α = 61.54°, β = 61.54°, γ = 60.00°
Positions (direct):
1 Ac 0.806 0.806 0.581
2 Nd 0.523 0.523 0.431
3 Nd 0.016 0.016 0.951
4 Dy 0.317 0.317 0.049
5 S 0.606 0.217 0.248
6 S 0.217 0.929 0.248
7 S 0.929 0.606 0.248
8 S 0.393 0.711 0.753
9 S 0.711 0.143 0.753
10 S 0.143 0.393 0.753

Results
raw formation energy	-20.44	eV/f.u.
energy	-6.35	eV/atom
crystal system	trigonal

[7]
This record from the Alexandria database describes crystalline Te6Cl7 at its relaxed geometry. The functional is PBE.

a = 10.090 Å, b = 10.090 Å, c = 10.090 Å
α = 44.34°, β = 44.34°, γ = 44.34°
Site moments in Bohr magnetons follow the coordinates.
Positions (direct):
1 Te 0.053 0.053 0.053  0.00
2 Te 0.947 0.947 0.947  0.00
3 Te 0.148 0.148 0.148  -0.03
4 Te 0.852 0.852 0.852  -0.03
5 Te 0.311 0.311 0.311  0.22
6 Te 0.689 0.689 0.689  0.22
7 Cl 0.044 0.588 0.588  0.04
8 Cl 0.588 0.044 0.588  0.04
9 Cl 0.588 0.588 0.044  0.04
10 Cl 0.956 0.412 0.412  0.04
11 Cl 0.412 0.412 0.956  0.04
12 Cl 0.412 0.956 0.412  0.04
13 Cl 0.500 0.500 0.500  -0.04

Results
raw formation energy	0.78	eV/f.u.
energy	-2.38	eV/atom
crystal system	trigonal

[8]
This record from the Alexandria database describes crystalline CaPt2Cl at its relaxed geometry. The functional is PBE.

a = 4.784 Å, b = 4.784 Å, c = 4.784 Å
α = 60.00°, β = 60.00°, γ = 60.00°
Positions (direct):
1 Ca 0.500 0.500 0.500
2 Pt 0.250 0.250 0.250
3 Pt 0.750 0.750 0.750
4 Cl 0.000 0.000 0.000

Results
raw formation energy	0.10	eV/f.u.
energy	-3.96	eV/atom
crystal system	cubic
distance to the lowest polymorph of the same formula	886.1	meV per atom

[9]
This record from the Alexandria database describes crystalline Pm8Te4P3Se at its relaxed geometry. The functional is PBE.

a = 8.481 Å, b = 8.765 Å, c = 8.481 Å
α = 118.93°, β = 120.00°, γ = 90.00°
Positions (direct):
1 Pm 0.243 0.714 0.971
2 Pm 0.243 0.714 0.486
3 Pm 0.263 0.288 0.525
4 Pm 0.728 0.714 0.971
5 Pm 0.272 0.286 0.029
6 Pm 0.737 0.712 0.475
7 Pm 0.757 0.286 0.514
8 Pm 0.757 0.286 0.029
9 Te 0.500 0.000 0.000
10 Te 0.500 0.000 0.500
11 Te 0.000 0.000 0.000
12 Te 0.000 0.000 0.500
13 P 0.500 0.500 0.000
14 P 0.500 0.500 0.500
15 P 0.000 0.500 0.500
16 Se 0.000 0.500 0.000

Results
raw formation energy	-25.70	eV/f.u.
energy	-6.00	eV/atom
crystal system	trigonal

[10]
This record from the Alexandria database describes crystalline LaBeTeI2 at its relaxed geometry. The functional is PBE.

a = 5.177 Å, b = 5.177 Å, c = 5.445 Å
α = 90.00°, β = 90.00°, γ = 90.00°
Site moments in Bohr magnetons follow the coordinates.
Positions (direct):
1 I 0.000 0.500 0.000  0.00
2 I 0.500 0.000 0.000  0.00
3 Be 0.000 0.000 0.000  0.01
4 Te 0.000 0.000 0.500  -0.01
5 La 0.500 0.500 0.500  0.26

Results
raw formation energy	-2.28	eV/f.u.
energy	-3.43	eV/atom
crystal system	tetragonal
distance to the lowest polymorph of the same formula	0.0	meV per atom

[11]
This record from the Alexandria database describes crystalline AgPSO2 at its relaxed geometry. The functional is PBE.

a = 3.836 Å, b = 3.836 Å, c = 5.928 Å
α = 90.00°, β = 90.00°, γ = 90.00°
Site moments in Bohr magnetons follow the coordinates.
Positions (direct):
1 P 0.000 0.000 0.500  0.25
2 S 0.500 0.500 0.500  0.01
3 O 0.000 0.500 0.000  0.52
4 O 0.500 0.000 0.000  0.52
5 Ag 0.000 0.000 0.000  0.22

Results
raw formation energy	4.42	eV/f.u.
energy	-3.58	eV/atom
crystal system	tetragonal

[12]
This record from the Alexandria database describes crystalline Li2PrPb2 at its relaxed geometry. The functional is PBE.

a = 5.392 Å, b = 5.339 Å, c = 5.316 Å
α = 107.00°, β = 90.00°, γ = 120.33°
Positions (direct):
1 Li 0.891 0.781 0.264
2 Li 0.109 0.219 0.736
3 Pr 0.500 0.000 0.000
4 Pb 0.761 0.522 0.685
5 Pb 0.239 0.478 0.315

Results
energy	-3.52	eV/atom
DFT formation energy	-318	meV per atom
crystal system	monoclinic
distance to the lowest polymorph of the same formula	81.2	meV per atom

[13]
This record from the Alexandria database describes crystalline Ce2PuSe at its relaxed geometry. The functional is PBE.

a = 3.687 Å, b = 3.687 Å, c = 7.593 Å
α = 75.95°, β = 75.95°, γ = 60.00°
Site moments in Bohr magnetons follow the coordinates.
Positions (direct):
1 Se 0.000 0.000 0.000  0.00
2 Ce 0.238 0.238 0.285  -0.10
3 Ce 0.762 0.762 0.715  -0.10
4 Pu 0.500 0.500 0.500  1.61

Results
raw formation energy	-2.00	eV/f.u.
energy	-7.92	eV/atom
crystal system	trigonal